# PBE BaCrMo2, optimized geometry
# Volume, A^3/atom: 20.4
# Energy relative to the lowest polymorph listed for this composition, eV/f.u.: 1.75
# Fermi-level density of states, states/eV/atom: 1.308
# Size of the total moment, μB/f.u.: 0.92
# Formation energy, meV/atom: 1198.5
data_BaCrMo2
_cell_length_a 2.953
_cell_length_b 5.479
_cell_length_c 10.081
_cell_angle_alpha 90.00
_cell_angle_beta 90.00
_cell_angle_gamma 90.00
_space_group_name_H-M_alt 'I m m m'
_space_group_IT_number 71
_space_group_name_Hall '-I 2 2'
loop_
_atom_site_label
_atom_site_type_symbol
_atom_site_fract_x
_atom_site_fract_y
_atom_site_fract_z
Ba1 Ba 0.000 0.000 0.000
Cr1 Cr 0.000 0.000 0.500
Mo1 Mo 0.000 0.500 0.203

=====

# PBE BaCrMo2, optimized geometry
# Volume, A^3/atom: 19.6
# Energy relative to the lowest polymorph listed for this composition, eV/f.u.: 2.50
# Fermi-level density of states, states/eV/atom: 1.308
# Size of the total moment, μB/f.u.: 2.22
# Formation energy, meV/atom: 1384.6
data_BaCrMo2
_cell_length_a 3.271
_cell_length_b 4.844
_cell_length_c 4.950
_cell_angle_alpha 90.00
_cell_angle_beta 90.00
_cell_angle_gamma 90.00
_space_group_name_H-M_alt 'P m m m'
_space_group_IT_number 47
_space_group_name_Hall '-P 2 2'
loop_
_atom_site_label
_atom_site_type_symbol
_atom_site_fract_x
_atom_site_fract_y
_atom_site_fract_z
Ba1 Ba 0.000 0.000 0.000
Cr1 Cr 0.500 0.500 0.000
Mo1 Mo 0.000 0.500 0.500
Mo2 Mo 0.500 0.000 0.500

=====

# PBE BaCrMo2, optimized geometry
# Volume, A^3/atom: 19.8
# Energy relative to the lowest polymorph listed for this composition, eV/f.u.: 1.13
# Fermi-level density of states, states/eV/atom: 1.244
# Size of the total moment, μB/f.u.: 0.00
# Formation energy, meV/atom: 1044.0
data_BaCrMo2
_cell_length_a 3.0811
_cell_length_b 3.0811
_cell_length_c 28.9598
_cell_angle_alpha 90.00
_cell_angle_beta 90.00
_cell_angle_gamma 120.00
_space_group_name_H-M_alt 'R -3 m'
_space_group_IT_number 166
_space_group_name_Hall '-R 3 2"'
loop_
_atom_site_label
_atom_site_type_symbol
_atom_site_fract_x
_atom_site_fract_y
_atom_site_fract_z
Ba1 Ba 0.0000 0.0000 0.0000
Cr1 Cr 0.0000 0.0000 0.5000
Mo1 Mo 0.0000 0.0000 0.2274

=====

Please write out number 2 again, unchanged.
# PBE BaCrMo2, optimized geometry
# Volume, A^3/atom: 19.6
# Energy relative to the lowest polymorph listed for this composition, eV/f.u.: 2.50
# Fermi-level density of states, states/eV/atom: 1.308
# Size of the total moment, μB/f.u.: 2.22
# Formation energy, meV/atom: 1384.6
data_BaCrMo2
_cell_length_a 3.271
_cell_length_b 4.844
_cell_length_c 4.950
_cell_angle_alpha 90.00
_cell_angle_beta 90.00
_cell_angle_gamma 90.00
_space_group_name_H-M_alt 'P m m m'
_space_group_IT_number 47
_space_group_name_Hall '-P 2 2'
loop_
_atom_site_label
_atom_site_type_symbol
_atom_site_fract_x
_atom_site_fract_y
_atom_site_fract_z
Ba1 Ba 0.000 0.000 0.000
Cr1 Cr 0.500 0.500 0.000
Mo1 Mo 0.000 0.500 0.500
Mo2 Mo 0.500 0.000 0.500

=====

The lowest Fermi-level density of states belongs to which entry?
number 3

=====

Which formula does entry 1 have?
BaCrMo2